Computed, not measured: Sr2AcMoO6 after structural relaxation at the GGA+U level of DFT.

Total magnetic moment in μB per cell: 2.00
Raw total energy in eV for the cell shown: -140.83

Geometry as CIF:
```
data_Sr2AcMoO6
_chemical_formula_sum 'Sr4 Ac2 Mo2 O12'
_cell_length_a 5.9487
_cell_length_b 6.1914
_cell_length_c 10.4016
_cell_angle_alpha 90.00
_cell_angle_beta 124.04
_cell_angle_gamma 90.00
_symmetry_space_group_name_H-M 'P 1 21/c 1'
_symmetry_Int_Tables_number 14
_symmetry_space_group_name_Hall '-P 2ybc'
loop_
_atom_site_label
_atom_site_type_symbol
_atom_site_fract_x
_atom_site_fract_y
_atom_site_fract_z
Sr1 Sr 0.2407 0.0496 0.2519
Ac1 Ac 0.5000 0.0000 0.0000
Mo1 Mo 0.0000 0.0000 0.5000
O1 O 0.1072 0.2240 0.9345
O2 O 0.2230 0.6698 0.9531
O3 O 0.3304 0.0504 0.7239
```